Entry 1:
# ScTc2 GGA-PBE optimized geometry
data_ScTc2
_chemical_formula_sum 'Sc3 Tc6'
_cell_length_a 6.4513
_cell_length_b 6.4513
_cell_length_c 4.2564
_cell_angle_alpha 90.00
_cell_angle_beta 90.00
_cell_angle_gamma 120.00
_symmetry_space_group_name_H-M 'P -6 2 m'
_symmetry_Int_Tables_number 189
_symmetry_space_group_name_Hall 'P -6 -2'
loop_
_atom_site_label
_atom_site_type_symbol
_atom_site_fract_x
_atom_site_fract_y
_atom_site_fract_z
_atom_site_occupancy
Sc1 Sc 0.0000 0.0000 0.0000 1
Sc2 Sc 0.3333 0.6667 0.5000 1
Tc1 Tc 0.0000 0.2306 0.5000 1
Tc2 Tc 0.0000 0.5011 0.0000 1
# Energy above the lowest structure with this stoichiometry: 0.707 eV/atom
# DOS(E_F): 0.64 states/eV per atom

Entry 2:
# KTi6Se12 GGA-PBE optimized geometry
data_KTi6Se12
_chemical_formula_sum 'K3 Ti18 Se36'
_cell_length_a 12.6688
_cell_length_b 12.6688
_cell_length_c 9.1723
_cell_angle_alpha 90.00
_cell_angle_beta 90.00
_cell_angle_gamma 120.00
_symmetry_space_group_name_H-M 'R -3 m'
_symmetry_Int_Tables_number 166
_symmetry_space_group_name_Hall '-R 3 2"'
loop_
_atom_site_label
_atom_site_type_symbol
_atom_site_fract_x
_atom_site_fract_y
_atom_site_fract_z
_atom_site_occupancy
K1 K 0.0000 0.0000 0.0000 1
Ti1 Ti 0.0769 0.5385 0.2744 1
Se1 Se 0.0000 0.3783 0.5000 1
Se2 Se 0.0896 0.1792 0.3454 1
# Formation energy without anion corrections: -0.8210 eV/atom
# DOS(E_F): 0.50 states/eV per atom

Entry 3:
# K3InBi3 GGA-PBE optimized geometry
data_K3InBi3
_chemical_formula_sum 'K12 In4 Bi12'
_cell_length_a 13.172
_cell_length_b 5.488
_cell_length_c 16.232
_cell_angle_alpha 90.00
_cell_angle_beta 108.92
_cell_angle_gamma 90.00
_symmetry_space_group_name_H-M 'C 1 2/m 1'
_symmetry_Int_Tables_number 12
loop_
_symmetry_equiv_pos_as_xyz
'x,y,z'
'-x,-y,-z'
'-x,y,-z'
'x,-y,z'
'x+1/2,y+1/2,z'
'-x+1/2,-y+1/2,-z'
'-x+1/2,y+1/2,-z'
'x+1/2,-y+1/2,z'
loop_
_atom_site_label
_atom_site_type_symbol
_atom_site_fract_x
_atom_site_fract_y
_atom_site_fract_z
_atom_site_occupancy
K1 K 0.024 0.000 0.381 1
K2 K 0.097 0.000 0.917 1
K3 K 0.227 0.000 0.220 1
In1 In 0.231 0.500 0.402 1
Bi1 Bi 0.028 0.500 0.232 1
Bi2 Bi 0.107 0.500 0.073 1
Bi3 Bi 0.141 0.500 0.556 1
# Energy above the lowest structure with this stoichiometry: 0.000 eV/atom
# DOS(E_F): 0.28 states/eV per atom

Entry 4:
# La2ErCo GGA-PBE optimized geometry
data_La2ErCo
_chemical_formula_sum 'La2 Er1 Co1'
_cell_length_a 3.568
_cell_length_b 3.568
_cell_length_c 8.859
_cell_angle_alpha 90.00
_cell_angle_beta 90.00
_cell_angle_gamma 90.00
_symmetry_space_group_name_H-M 'P 4/m m m'
_symmetry_Int_Tables_number 123
_symmetry_space_group_name_Hall '-P 4 2'
loop_
_atom_site_label
_atom_site_type_symbol
_atom_site_fract_x
_atom_site_fract_y
_atom_site_fract_z
_atom_site_occupancy
La1 La 0.000 0.000 0.194 1
Er1 Er 0.500 0.500 0.500 1
Co1 Co 0.500 0.500 0.000 1
# Energy above the lowest structure with this stoichiometry: 0.180 eV/atom
# DOS(E_F): 1.27 states/eV per atom

Entry 5:
# Bi2PN GGA-PBE optimized geometry
data_Bi2PN
_chemical_formula_sum 'Bi8 P4 N4'
_cell_length_a 6.813
_cell_length_b 6.813
_cell_length_c 6.813
_cell_angle_alpha 90.00
_cell_angle_beta 90.00
_cell_angle_gamma 90.00
_symmetry_space_group_name_H-M 'F m -3 m'
_symmetry_Int_Tables_number 225
_symmetry_space_group_name_Hall '-F 4 2 3'
loop_
_atom_site_label
_atom_site_type_symbol
_atom_site_fract_x
_atom_site_fract_y
_atom_site_fract_z
_atom_site_occupancy
Bi1 Bi 0.250 0.250 0.250 1
P1 P 0.000 0.000 0.000 1
N1 N 0.000 0.000 0.500 1
# Energy above the lowest structure with this stoichiometry: 0.412 eV/atom
# Formation energy without anion corrections: 1.0158 eV/atom
# DOS(E_F): 0.89 states/eV per atom

Entry 6:
# ErMgScAg GGA-PBE optimized geometry
data_ErMgScAg
_chemical_formula_sum 'Er1 Mg1 Sc1 Ag1'
_cell_length_a 3.703
_cell_length_b 4.920
_cell_length_c 5.069
_cell_angle_alpha 90.00
_cell_angle_beta 90.00
_cell_angle_gamma 90.00
_symmetry_space_group_name_H-M 'P m m m'
_symmetry_Int_Tables_number 47
loop_
_symmetry_equiv_pos_as_xyz
'x,y,z'
'-x,-y,-z'
'-x,-y,z'
'x,y,-z'
'x,-y,-z'
'-x,y,z'
'-x,y,-z'
'x,-y,z'
loop_
_atom_site_label
_atom_site_type_symbol
_atom_site_fract_x
_atom_site_fract_y
_atom_site_fract_z
_atom_site_occupancy
Er1 Er 0.000 0.000 0.000 1
Mg1 Mg 0.500 0.000 0.500 1
Sc1 Sc 0.000 0.500 0.500 1
Ag1 Ag 0.500 0.500 0.000 1
# Energy above the lowest structure with this stoichiometry: 0.000 eV/atom
# DOS(E_F): 0.69 states/eV per atom

Entry 7:
# Hf3Pa2Si4 GGA-PBE optimized geometry
data_Hf3Pa2Si4
_chemical_formula_sum 'Hf6 Pa4 Si8'
_cell_length_a 7.261
_cell_length_b 7.235
_cell_length_c 7.076
_cell_angle_alpha 90.00
_cell_angle_beta 109.27
_cell_angle_gamma 90.00
_symmetry_space_group_name_H-M 'P 1 21/c 1'
_symmetry_Int_Tables_number 14
loop_
_symmetry_equiv_pos_as_xyz
'x,y,z'
'-x,-y,-z'
'-x,y+1/2,-z+1/2'
'x,-y+1/2,z+1/2'
loop_
_atom_site_label
_atom_site_type_symbol
_atom_site_fract_x
_atom_site_fract_y
_atom_site_fract_z
_atom_site_occupancy
Hf1 Hf 0.000 0.000 0.000 1
Hf2 Hf 0.252 0.175 0.753 1
Pa1 Pa 0.310 0.671 0.933 1
Si1 Si 0.006 0.626 0.129 1
Si2 Si 0.418 0.036 0.138 1
# Formation energy without anion corrections: -0.7393 eV/atom
# DOS(E_F): 0.76 states/eV per atom

Entry 8:
# PuGaSi GGA-PBE optimized geometry
data_PuGaSi
_chemical_formula_sum 'Pu4 Ga4 Si4'
_cell_length_a 3.881
_cell_length_b 10.730
_cell_length_c 5.777
_cell_angle_alpha 90.00
_cell_angle_beta 90.00
_cell_angle_gamma 90.00
_symmetry_space_group_name_H-M 'C m c m'
_symmetry_Int_Tables_number 63
_symmetry_space_group_name_Hall '-C 2c 2'
loop_
_atom_site_label
_atom_site_type_symbol
_atom_site_fract_x
_atom_site_fract_y
_atom_site_fract_z
_atom_site_occupancy
Pu1 Pu 0.000 0.168 0.250 1
Ga1 Ga 0.000 0.114 0.750 1
Si1 Si 0.000 0.500 0.000 1
# Formation energy without anion corrections: -0.2773 eV/atom
# DOS(E_F): 2.79 states/eV per atom

Entry 9:
# Cu2NiRh2 GGA-PBE optimized geometry
data_Cu2NiRh2
_chemical_formula_sum 'Cu4 Ni2 Rh4'
_cell_length_a 7.010
_cell_length_b 7.010
_cell_length_c 2.765
_cell_angle_alpha 90.00
_cell_angle_beta 90.00
_cell_angle_gamma 90.00
_symmetry_space_group_name_H-M 'P 4/m b m'
_symmetry_Int_Tables_number 127
_symmetry_space_group_name_Hall '-P 4 2ab'
loop_
_atom_site_label
_atom_site_type_symbol
_atom_site_fract_x
_atom_site_fract_y
_atom_site_fract_z
_atom_site_occupancy
Cu1 Cu 0.125 0.375 0.000 1
Ni1 Ni 0.000 0.000 0.000 1
Rh1 Rh 0.173 0.673 0.500 1
# Energy above the lowest structure with this stoichiometry: 0.000 eV/atom
# DOS(E_F): 1.55 states/eV per atom

Entry 10:
# Ac4Ga3Ge GGA-PBE optimized geometry
data_Ac4Ga3Ge
_chemical_formula_sum 'Ac4 Ga3 Ge1'
_cell_length_a 4.316
_cell_length_b 4.737
_cell_length_c 12.028
_cell_angle_alpha 90.00
_cell_angle_beta 90.00
_cell_angle_gamma 90.00
_symmetry_space_group_name_H-M 'P m m 2'
_symmetry_Int_Tables_number 25
loop_
_symmetry_equiv_pos_as_xyz
'x,y,z'
'-x,-y,z'
'-x,y,z'
'x,-y,z'
loop_
_atom_site_label
_atom_site_type_symbol
_atom_site_fract_x
_atom_site_fract_y
_atom_site_fract_z
_atom_site_occupancy
Ac1 Ac 0.000 0.000 0.000 1
Ac2 Ac 0.000 0.500 0.499 1
Ac3 Ac 0.500 0.000 0.284 1
Ac4 Ac 0.500 0.500 0.783 1
Ga1 Ga 0.000 0.000 0.708 1
Ga2 Ga 0.000 0.500 0.209 1
Ga3 Ga 0.500 0.000 0.576 1
Ge1 Ge 0.500 0.500 0.071 1
# DOS(E_F): 0.85 states/eV per atom

Entry 11:
# Y2Cd3 GGA-PBE optimized geometry
data_Y2Cd3
_chemical_formula_sum 'Y6 Cd9'
_cell_length_a 3.6376
_cell_length_b 3.6376
_cell_length_c 35.9735
_cell_angle_alpha 90.00
_cell_angle_beta 90.00
_cell_angle_gamma 120.00
_symmetry_space_group_name_H-M 'R -3 m'
_symmetry_Int_Tables_number 166
_symmetry_space_group_name_Hall '-R 3 2"'
loop_
_atom_site_label
_atom_site_type_symbol
_atom_site_fract_x
_atom_site_fract_y
_atom_site_fract_z
_atom_site_occupancy
Y1 Y 0.0000 0.0000 0.0986 1
Cd1 Cd 0.0000 0.0000 0.3030 1
Cd2 Cd 0.0000 0.0000 0.5000 1
# Energy above the lowest structure with this stoichiometry: 0.166 eV/atom
# DOS(E_F): 0.84 states/eV per atom

Entry 12:
# Pu3Cd GGA-PBE optimized geometry
data_Pu3Cd
_chemical_formula_sum 'Pu3 Cd1'
_cell_length_a 3.000
_cell_length_b 5.430
_cell_length_c 6.021
_cell_angle_alpha 90.00
_cell_angle_beta 90.00
_cell_angle_gamma 90.00
_symmetry_space_group_name_H-M 'P m m 2'
_symmetry_Int_Tables_number 25
loop_
_symmetry_equiv_pos_as_xyz
'x,y,z'
'-x,-y,z'
'-x,y,z'
'x,-y,z'
loop_
_atom_site_label
_atom_site_type_symbol
_atom_site_fract_x
_atom_site_fract_y
_atom_site_fract_z
_atom_site_occupancy
Pu1 Pu 0.000 0.000 0.000 1
Pu2 Pu 0.000 0.500 0.324 1
Pu3 Pu 0.500 0.500 0.831 1
Cd1 Cd 0.500 0.000 0.509 1
# Energy above the lowest structure with this stoichiometry: 0.000 eV/atom
# DOS(E_F): 4.46 states/eV per atom

| no. | energy (eV for the cell shown) |
| --- | --- |
| 1 | -77.6 |
| 2 | -317.6 |
| 3 | -79.7 |
| 4 | -21.2 |
| 5 | -69.7 |
| 6 | -15.9 |
| 7 | -154.4 |
| 8 | -94.5 |
| 9 | -53.6 |
| 10 | -34.8 |
| 11 | -49.2 |
| 12 | -43.4 |